Entry 1:
SiOs | GGA-PBEsol | optimized geometry

The structure in POSCAR format:
```
SiOs
1.0
-2.541 -3.973 0.507
0.630 -0.990 -4.596
3.955 -2.395 1.058
Si Os
4 4
direct
0.413 0.913 0.587
0.087 0.087 0.087
0.587 0.413 0.913
0.913 0.587 0.413
0.124 0.624 0.876
0.376 0.376 0.376
0.876 0.124 0.624
0.624 0.876 0.124
```

Values from the calculation:
SG: P2_13, No. 198


Entry 2:
Si3Os | GGA-PBEsol | optimized geometry

The structure in POSCAR format:
```
Si3Os
1.0
-0.831 4.397 -0.482
-1.023 -0.750 -5.078
-3.854 -0.342 3.525
Os Si
2 6
direct
0.750 0.667 0.333
0.250 0.333 0.667
0.750 0.171 0.829
0.750 0.657 0.829
0.750 0.171 0.343
0.250 0.829 0.171
0.250 0.343 0.171
0.250 0.829 0.657
```

Values from the calculation:
SG: P6_3/mmc, No. 194


Entry 3:
SiOs3 | GGA-PBEsol | optimized geometry

The structure in POSCAR format:
```
SiOs3
1.0
-0.010 2.275 -1.608
-0.330 -2.518 -1.146
-7.987 0.623 0.934
Os Si
3 1
direct
0.000 0.000 0.267
0.000 0.000 0.733
0.333 0.667 0.000
0.333 0.667 0.500
```

Values from the calculation:
SG: P-6m2, No. 187


Entry 4:
SiOs2 | GGA-PBEsol | optimized geometry

The structure in POSCAR format:
```
SiOs2
1.0
-1.633 -0.898 -2.062
0.365 -4.093 1.494
-4.474 1.362 4.823
Si Os
2 4
direct
0.283 0.750 0.565
0.717 0.250 0.435
0.624 0.750 0.248
0.944 0.750 0.889
0.056 0.250 0.111
0.376 0.250 0.752
```

Values from the calculation:
SG: Cmcm, No. 63


Entry 5:
Si3Os | GGA-PBEsol | optimized geometry

The structure in POSCAR format:
```
Si3Os
1.0
4.624 0.000 0.000
0.000 4.624 0.000
0.000 0.000 4.624
Os Si
1 3
direct
0.000 0.000 0.000
0.500 0.000 0.000
0.000 0.500 0.000
0.000 0.000 0.500
```

Values from the calculation:
SG: Pm-3m, No. 221


Entry 6:
SiOs2 | GGA-PBEsol | optimized geometry

The structure in POSCAR format:
```
SiOs2
1.0
-2.544 0.289 -1.069
0.319 -3.429 -1.687
-0.375 -0.089 4.468
Os Si
2 1
direct
0.328 0.328 0.657
0.672 0.672 0.343
0.000 0.000 0.000
```

Values from the calculation:
SG: Immm, No. 71


Entry 7:
SiOs | GGA-PBEsol | optimized geometry

The structure in POSCAR format:
```
SiOs
1.0
-2.554 1.218 -0.517
-0.659 -2.742 -3.205
-1.857 -2.739 2.724
Os Si
2 2
direct
0.000 0.000 0.625
0.500 0.500 0.375
0.500 0.000 0.093
0.000 0.500 0.907
```

Values from the calculation:
SG: Pmmn, No. 59


Entry 8:
SiOs3 | GGA-PBEsol | optimized geometry

The structure in POSCAR format:
```
SiOs3
1.0
2.740 0.000 0.000
1.370 2.373 0.000
1.370 0.791 8.315
Os Si
3 1
direct
0.746 0.746 0.762
0.500 0.500 0.500
0.254 0.254 0.238
0.000 0.000 0.000
```

Values from the calculation:
SG: R-3m, No. 166


Entry 9:
SiOs | GGA-PBEsol | optimized geometry

The structure in POSCAR format:
```
SiOs
1.0
3.763 0.000 0.000
1.882 3.259 0.000
1.882 1.086 3.073
Si Os
1 1
direct
0.250 0.250 0.250
0.000 0.000 0.000
```

Values from the calculation:
SG: F-43m, No. 216


Entry 10:
SiOs | GGA-PBEsol | optimized geometry

The structure in POSCAR format:
```
SiOs
1.0
2.906 0.000 0.000
0.000 4.337 -0.010
-1.453 -1.271 4.126
Si Os
2 2
direct
0.624 0.825 0.247
0.376 0.175 0.753
0.122 0.299 0.244
0.878 0.701 0.756
```

Values from the calculation:
SG: C2/m, No. 12


Entry 11:
SmSi3Os | GGA-PBEsol | optimized geometry

The structure in POSCAR format:
```
SmSi3Os
1.0
4.179 0.000 0.000
0.000 4.179 0.000
-2.090 -2.090 4.941
Si Os Sm
3 1 1
direct
0.581 0.581 0.163
0.738 0.238 0.476
0.238 0.738 0.476
0.346 0.346 0.693
0.002 0.002 0.004
```

Values from the calculation:
SG: I4mm, No. 107


Entry 12:
SrSiOs | GGA-PBEsol | optimized geometry

The structure in POSCAR format:
```
SrSiOs
1.0
3.181 0.000 0.000
0.000 3.181 0.000
-1.591 -1.591 5.651
Os Si Sr
1 1 1
direct
0.040 0.040 0.079
0.625 0.625 0.249
0.336 0.336 0.672
```

Values from the calculation:
SG: I4mm, No. 107


Entry 13:
SrSiOs2 | GGA-PBEsol | optimized geometry

The structure in POSCAR format:
```
SrSiOs2
1.0
-0.619 0.987 -2.695
-1.712 -3.290 -0.812
-5.326 1.955 3.309
Os Si Sr
2 1 1
direct
0.139 0.000 0.823
0.861 0.000 0.177
0.500 0.500 0.000
0.500 0.500 0.500
```

Values from the calculation:
SG: P2/m, No. 10


Entry 14:
Sr2SiOs | GGA-PBEsol | optimized geometry

The structure in POSCAR format:
```
Sr2SiOs
1.0
-2.240 -1.088 3.726
-3.059 -2.156 -2.468
5.010 -2.101 -0.297
Os Si Sr
1 1 2
direct
0.000 0.500 0.000
0.500 0.000 0.000
0.750 0.750 0.500
0.250 0.250 0.500
```

Values from the calculation:
SG: I4/mmm, No. 139


Entry 15:
Sr2SiOs | GGA-PBEsol | optimized geometry

The structure in POSCAR format:
```
Sr2SiOs
1.0
3.378 0.000 0.000
1.689 2.926 0.000
1.689 0.975 9.648
Os Si Sr
1 1 2
direct
0.500 0.500 0.500
0.000 0.000 0.000
0.245 0.245 0.265
0.755 0.755 0.735
```

Values from the calculation:
SG: R-3m, No. 166


Entry 16:
Sr2SiOs | GGA-PBEsol | optimized geometry

The structure in POSCAR format:
```
Sr2SiOs
1.0
4.127 0.000 0.000
-2.064 3.550 -0.046
0.000 -2.249 8.285
Sr Si Os
2 1 1
direct
0.039 0.078 0.114
0.212 0.424 0.636
0.792 0.583 0.375
0.458 0.915 0.375
```

Values from the calculation:
SG: Cm, No. 8


Entry 17:
Ta4SiOs | GGA-PBEsol | optimized geometry

The structure in POSCAR format:
```
Ta4SiOs
1.0
5.257 0.000 0.000
2.628 4.552 0.000
2.628 1.517 4.292
Os Si Ta
1 1 4
direct
0.750 0.750 0.750
0.000 0.000 0.000
0.375 0.375 0.375
0.375 0.375 0.876
0.876 0.375 0.375
0.375 0.876 0.375
```

Values from the calculation:
SG: F-43m, No. 216


Entry 18:
Tb2Si5Os3 | GGA-PBEsol | optimized geometry

The structure in POSCAR format:
```
Tb2Si5Os3
1.0
-4.049 -3.833 -0.720
5.565 -6.975 5.836
-4.872 3.490 8.817
Tb Si Os
8 20 12
direct
0.500 0.765 0.929
0.000 0.429 0.265
0.000 0.265 0.571
0.000 0.571 0.735
0.500 0.235 0.071
0.500 0.071 0.765
0.000 0.735 0.429
0.500 0.929 0.235
0.749 0.500 0.500
0.000 0.973 0.320
0.000 0.027 0.680
0.250 0.673 0.173
0.750 0.673 0.173
0.750 0.327 0.827
0.250 0.327 0.827
0.000 0.320 0.027
0.751 0.000 0.000
0.251 0.500 0.500
0.500 0.180 0.527
0.500 0.527 0.820
0.250 0.173 0.327
0.000 0.680 0.973
0.249 0.000 0.000
0.500 0.473 0.180
0.250 0.827 0.673
0.500 0.820 0.473
0.750 0.173 0.327
0.750 0.827 0.673
0.500 0.354 0.375
0.750 0.500 0.000
0.000 0.854 0.125
0.000 0.875 0.854
0.250 0.000 0.500
0.000 0.125 0.146
0.500 0.646 0.625
0.000 0.146 0.875
0.500 0.375 0.646
0.250 0.500 0.000
0.500 0.625 0.354
0.750 0.000 0.500
```

Values from the calculation:
SG: P4/mnc, No. 128


Entry 19:
TbSi2Os2 | GGA-PBEsol | optimized geometry

The structure in POSCAR format:
```
TbSi2Os2
1.0
-3.015 2.810 0.067
-2.787 -3.001 0.462
3.327 0.439 4.532
Tb Si Os
1 2 2
direct
0.000 0.000 0.000
0.373 0.373 0.747
0.627 0.627 0.253
0.250 0.750 0.500
0.750 0.250 0.500
```

Values from the calculation:
SG: I4/mmm, No. 139


Entry 20:
SiTc2Os | GGA-PBEsol | optimized geometry

The structure in POSCAR format:
```
SiTc2Os
1.0
-1.598 2.039 1.245
0.205 -2.135 3.758
4.270 2.216 -1.465
Os Si Tc
1 1 2
direct
0.524 0.024 0.047
0.249 0.249 0.498
0.976 0.476 0.952
0.751 0.751 0.502
```

Values from the calculation:
SG: Imm2, No. 44


Quick rundown of energy relative to the elements, uncorrected, same order as above: -422 314 -8 -211 753 85 -329 -23 744 -391 -683 -129 432 567 800 -222 513 -802 -754 -239 meV/atom
Quick rundown of final energy, same order as above: -9.4032 -7.0500 -10.6063 -10.2703 -6.6106 -9.9744 -9.3100 -10.6215 -8.2371 -9.3721 -7.5928 -6.7301 -7.5731 -4.8438 -4.6104 -5.6329 -10.8485 -8.3423 -8.9407 -10.3627 eV per atom